5
Lattice="-0.752 -3.983 0.672 3.468 -0.988 -1.970 2.963 0.295 5.069" Properties=species:S:1:pos:R:3 comment="InOsSeN2 PBE relaxed" n_ef_per_ev_cell=4.31 e_form_raw_ev_per_atom=2.26 total_magnetization_mub_per_cell=6.384 pbc="T T T"
N -0.376 -1.991 0.336
N 1.734 -0.494 -0.985
Os 2.839 -2.337 1.886
In 0.000 0.000 0.000
Se 1.482 0.148 2.534

=====

18
Lattice="-8.791 0.377 0.331 3.359 -7.716 2.593 3.488 5.889 5.541" Properties=species:S:1:pos:R:3 comment="Pm6BiRh2 PBE relaxed" n_ef_per_ev_cell=18.37 delta_e_f_kj_per_mol_atoms=-52.1 total_magnetization_mub_per_cell=0.000 pbc="T T T"
Rh -3.495 4.129 3.870
Rh -1.803 -3.913 2.547
Rh -0.142 2.463 5.918
Rh -1.808 2.136 2.002
Pm 0.565 -2.881 3.584
Pm -2.510 1.430 4.881
Pm 2.907 -3.505 6.366
Pm 2.836 2.589 5.348
Pm 0.492 0.865 3.086
Pm 0.617 -0.408 6.542
Pm 4.175 -0.118 7.460
Pm -2.437 -2.316 5.379
Pm -6.120 -1.333 1.004
Pm -2.562 -1.042 1.923
Pm -4.781 -4.040 3.117
Pm -4.852 2.055 2.099
Bi 0.000 0.000 0.000
Bi 3.423 -0.914 4.067

=====

4
Lattice="5.326 0.000 0.000 2.663 4.613 0.000 2.663 1.538 4.349" Properties=species:S:1:pos:R:3 comment="LaGdInCu PBE relaxed" n_ef_per_ev_cell=4.10 delta_e_f_kj_per_mol_atoms=-27.5 total_magnetization_mub_per_cell=7.613 pbc="T T T"
La 0.000 0.000 0.000
Gd 5.326 3.075 2.174
Cu 2.663 1.538 1.087
In 7.989 4.613 3.262

=====

4
Lattice="-3.142 -0.973 -3.786 -3.184 -3.862 0.313 -4.915 0.839 0.541" Properties=species:S:1:pos:R:3 comment="LiDyHoPd PBE relaxed" n_ef_per_ev_cell=2.68 delta_e_f_kj_per_mol_atoms=-40.3 total_magnetization_mub_per_cell=0.000 pbc="T T T"
Dy -2.810 -0.999 -0.733
Ho -8.430 -2.998 -2.199
Li 0.000 0.000 0.000
Pd -5.620 -1.998 -1.466

=====

3
Lattice="-1.439 -5.416 -2.001 -1.644 -5.041 2.701 -0.721 5.885 -0.501" Properties=species:S:1:pos:R:3 comment="PSeCl PBE relaxed" n_ef_per_ev_cell=2.06 e_form_raw_ev_per_atom=0.35 total_magnetization_mub_per_cell=0.000 pbc="T T T"
Cl -3.062 -10.388 0.695
Se -2.169 -7.360 0.492
P -0.933 -3.166 0.212

=====

10
Lattice="-3.956 -1.573 7.948 1.763 -8.800 -0.864 2.618 0.389 1.380" Properties=species:S:1:pos:R:3 comment="RbZn2Cd2 PBE relaxed" n_ef_per_ev_cell=3.49 delta_e_f_kj_per_mol_atoms=10.4 total_magnetization_mub_per_cell=0.000 pbc="T T T"
Zn 0.224 -8.293 5.140
Zn 1.857 -5.783 1.335
Zn 0.201 -1.691 3.324
Zn -1.432 -4.201 7.128
Cd -2.272 -2.178 4.924
Cd 0.114 -3.430 0.750
Cd -2.308 -6.942 6.334
Cd 0.079 -8.195 2.160
Rb 0.000 0.000 0.000
Rb -1.097 -5.186 3.542

=====

12
Lattice="4.433 -0.026 1.477 0.035 6.611 0.012 0.006 -0.013 7.371" Properties=species:S:1:pos:R:3 comment="Hf6Zn5Re PBE relaxed" n_ef_per_ev_cell=7.02 delta_e_f_kj_per_mol_atoms=-25.3 total_magnetization_mub_per_cell=0.000 pbc="T T T"
Hf 0.742 1.620 5.194
Hf 2.225 1.621 0.742
Hf 3.733 4.951 3.667
Hf 3.715 1.607 3.661
Hf 2.243 4.964 0.748
Hf 0.760 4.964 5.200
Re 0.000 0.000 0.000
Zn 2.990 3.279 5.868
Zn 1.485 3.292 2.993
Zn 0.018 3.306 0.006
Zn 2.957 -0.026 5.907
Zn 1.482 -0.013 2.942

=====

10
Lattice="-1.814 -6.596 1.733 6.724 -1.431 1.592 -0.519 0.942 3.040" Properties=species:S:1:pos:R:3 comment="Cu2Rh2Pb PBE relaxed" n_ef_per_ev_cell=4.94 delta_e_f_kj_per_mol_atoms=17.0 total_magnetization_mub_per_cell=0.000 pbc="T T T"
Rh -0.230 -4.404 1.325
Rh 2.725 -6.599 2.510
Rh 2.185 -1.427 0.816
Rh 5.141 -3.622 2.000
Cu 0.151 -2.030 2.365
Cu 3.860 -1.483 2.829
Cu 0.531 -5.602 3.536
Cu 4.240 -5.055 4.001
Pb 2.455 -4.013 1.663
Pb 0.000 0.000 0.000

=====

8
Lattice="8.524 0.000 4.441 3.403 8.548 3.868 0.292 1.645 9.840" Properties=species:S:1:pos:R:3 comment="Cs4K3H PBE relaxed" n_ef_per_ev_cell=6.03 total_energy_ev_per_fu=-9.9 total_magnetization_mub_per_cell=0.000 pbc="T T T"
K 8.775 6.747 14.359
K 0.653 2.444 9.148
K 2.650 1.684 5.314
Cs 8.750 6.235 9.197
Cs 4.775 5.646 11.636
Cs 6.397 2.222 8.524
Cs 4.496 6.235 6.981
H 6.095 5.064 9.102

=====

6
Lattice="-3.292 -0.100 -3.149 1.256 -4.230 -1.175 -3.973 -0.794 7.477" Properties=species:S:1:pos:R:3 comment="AcPuRh PBE relaxed" n_ef_per_ev_cell=17.31 delta_e_f_kj_per_mol_atoms=-31.7 total_magnetization_mub_per_cell=0.009 pbc="T T T"
Ac -1.260 -0.820 -1.559
Ac -4.872 -2.959 2.290
Rh 0.380 -3.265 0.102
Rh -1.964 -4.648 2.602
Pu -1.420 -1.840 1.939
Pu -2.439 -4.003 -0.222

=====

5
Lattice="5.602 0.000 0.000 0.000 5.602 0.000 0.000 0.000 5.602" Properties=species:S:1:pos:R:3 comment="KCa3F PBE relaxed" n_ef_per_ev_cell=3.61 e_form_raw_ev_per_atom=-0.80 total_magnetization_mub_per_cell=0.000 pbc="T T T"
F 0.000 0.000 0.000
Ca 2.801 0.000 0.000
Ca 0.000 2.801 0.000
Ca 0.000 0.000 2.801
K 2.801 2.801 2.801

=====

24
Lattice="5.179 0.000 0.000 0.000 8.768 0.000 0.000 0.000 8.768" Properties=species:S:1:pos:R:3 comment="LiMg2Zn9 PBE relaxed" n_ef_per_ev_cell=5.01 delta_e_f_kj_per_mol_atoms=-9.7 total_magnetization_mub_per_cell=0.000 pbc="T T T"
Zn 2.590 7.012 0.524
Zn 1.233 7.206 2.822
Zn 2.590 8.244 7.012
Zn 3.946 7.206 2.822
Zn 2.590 3.860 6.141
Zn 2.590 0.000 4.384
Zn 2.590 4.908 2.628
Zn 2.590 2.628 3.860
Zn 1.233 5.947 7.206
Zn 3.946 5.947 7.206
Zn 2.590 1.757 8.244
Zn 2.590 4.384 0.000
Zn 1.233 2.822 1.563
Zn 3.946 1.563 5.947
Zn 2.590 0.524 1.757
Zn 1.233 1.563 5.947
Zn 3.946 2.822 1.563
Zn 2.590 6.141 4.908
Mg 0.000 7.695 5.457
Mg 0.000 5.457 1.073
Mg 0.000 1.073 3.311
Mg 0.000 3.311 7.695
Li 0.000 4.384 4.384
Li 0.000 0.000 0.000